Record 1
# Sc2CSe, optimized geometry, DFT PBE-GGA
# - Fermi-level density of states: 0.00 states/eV/cell
# - Raw formation energy: -0.87 eV per atom
# - VASP energy: -7.21 eV/atom
data_Sc2CSe
_cell_length_a 5.867
_cell_length_b 5.867
_cell_length_c 5.867
_cell_angle_alpha 115.03
_cell_angle_beta 115.03
_cell_angle_gamma 98.85
_symmetry_space_group_name_H-M 'P 1'
_symmetry_Int_Tables_number 1
_symmetry_space_group_name_Hall 'P 1'
loop_
_atom_site_label
_atom_site_type_symbol
_atom_site_fract_x
_atom_site_fract_y
_atom_site_fract_z
_atom_site_occupancy
Sc1 Sc 0.051 0.125 0.426 1
Sc2 Sc 0.375 0.949 0.074 1
Sc3 Sc 0.699 0.625 0.574 1
Sc4 Sc 0.875 0.301 0.926 1
C1 C 0.000 0.000 0.000 1
C2 C 0.750 0.250 0.500 1
Se1 Se 0.250 0.750 0.500 1
Se2 Se 0.500 0.500 0.000 1


Record 2
# Ta2CuCl, optimized geometry, DFT PBE-GGA
# - Fermi-level density of states: 3.28 states/eV/cell
# - Raw formation energy: 0.51 eV per atom
# - VASP energy: -6.90 eV/atom
data_Ta2CuCl
_cell_length_a 5.116
_cell_length_b 5.116
_cell_length_c 2.881
_cell_angle_alpha 100.99
_cell_angle_beta 100.99
_cell_angle_gamma 112.34
_symmetry_space_group_name_H-M 'P 1'
_symmetry_Int_Tables_number 1
_symmetry_space_group_name_Hall 'P 1'
loop_
_atom_site_label
_atom_site_type_symbol
_atom_site_fract_x
_atom_site_fract_y
_atom_site_fract_z
_atom_site_occupancy
Ta1 Ta 0.000 0.500 0.000 1
Ta2 Ta 0.500 0.000 0.000 1
Cu1 Cu 0.000 0.000 0.500 1
Cl1 Cl 0.500 0.500 0.500 1


Record 3
# BaSc2Hg, optimized geometry, DFT PBE-GGA
# - ΔH_f (0 K): -85 meV per atom
# - Fermi-level density of states: 3.75 states/eV/cell
# - VASP energy: -3.81 eV/atom
data_BaSc2Hg
_cell_length_a 3.676
_cell_length_b 3.672
_cell_length_c 8.889
_cell_angle_alpha 90.00
_cell_angle_beta 90.04
_cell_angle_gamma 90.00
_symmetry_space_group_name_H-M 'P 1'
_symmetry_Int_Tables_number 1
_symmetry_space_group_name_Hall 'P 1'
loop_
_atom_site_label
_atom_site_type_symbol
_atom_site_fract_x
_atom_site_fract_y
_atom_site_fract_z
_atom_site_occupancy
Ba1 Ba 0.000 0.000 0.000 1
Sc1 Sc 0.498 0.500 0.339 1
Sc2 Sc 0.999 0.000 0.549 1
Hg1 Hg 0.499 0.500 0.715 1


Record 4
# AcAl4Ga3, optimized geometry, DFT PBE-GGA
# - ΔH_f (0 K): -229 meV per atom
# - Fermi-level density of states: 3.46 states/eV/cell
# - VASP energy: -3.75 eV/atom
data_AcAl4Ga3
_cell_length_a 4.666
_cell_length_b 4.666
_cell_length_c 7.706
_cell_angle_alpha 90.00
_cell_angle_beta 90.00
_cell_angle_gamma 90.00
_symmetry_space_group_name_H-M 'P 1'
_symmetry_Int_Tables_number 1
_symmetry_space_group_name_Hall 'P 1'
loop_
_atom_site_label
_atom_site_type_symbol
_atom_site_fract_x
_atom_site_fract_y
_atom_site_fract_z
_atom_site_occupancy
Ac1 Ac 0.000 0.000 0.000 1
Al1 Al 0.000 0.500 0.328 1
Al2 Al 0.000 0.500 0.672 1
Al3 Al 0.500 0.000 0.328 1
Al4 Al 0.500 0.000 0.672 1
Ga1 Ga 0.000 0.000 0.500 1
Ga2 Ga 0.500 0.500 0.165 1
Ga3 Ga 0.500 0.500 0.835 1


Record 5
# AlTlCd, optimized geometry, DFT PBE-GGA
# - ΔH_f (0 K): 171 meV per atom
# - Fermi-level density of states: 5.53 states/eV/cell
# - VASP energy: -2.17 eV/atom
data_AlTlCd
_cell_length_a 7.445
_cell_length_b 4.411
_cell_length_c 8.888
_cell_angle_alpha 90.00
_cell_angle_beta 90.00
_cell_angle_gamma 90.00
_symmetry_space_group_name_H-M 'P 1'
_symmetry_Int_Tables_number 1
_symmetry_space_group_name_Hall 'P 1'
loop_
_atom_site_label
_atom_site_type_symbol
_atom_site_fract_x
_atom_site_fract_y
_atom_site_fract_z
_atom_site_occupancy
Al1 Al 0.238 0.250 0.147 1
Al2 Al 0.262 0.750 0.647 1
Al3 Al 0.738 0.250 0.353 1
Al4 Al 0.762 0.750 0.853 1
Tl1 Tl 0.036 0.750 0.338 1
Tl2 Tl 0.464 0.250 0.838 1
Tl3 Tl 0.536 0.750 0.162 1
Tl4 Tl 0.964 0.250 0.662 1
Cd1 Cd 0.139 0.750 0.950 1
Cd2 Cd 0.361 0.250 0.450 1
Cd3 Cd 0.639 0.750 0.550 1
Cd4 Cd 0.861 0.250 0.050 1


Record 6
# Tb5ErTl4, optimized geometry, DFT PBE-GGA
# - ΔH_f (0 K): -279 meV per atom
# - Fermi-level density of states: 9.24 states/eV/cell
# - VASP energy: -4.00 eV/atom
data_Tb5ErTl4
_cell_length_a 3.634
_cell_length_b 3.634
_cell_length_c 21.634
_cell_angle_alpha 90.00
_cell_angle_beta 90.00
_cell_angle_gamma 90.00
_symmetry_space_group_name_H-M 'P 1'
_symmetry_Int_Tables_number 1
_symmetry_space_group_name_Hall 'P 1'
loop_
_atom_site_label
_atom_site_type_symbol
_atom_site_fract_x
_atom_site_fract_y
_atom_site_fract_z
_atom_site_occupancy
Tb1 Tb 0.000 0.000 0.000 1
Tb2 Tb 0.000 0.000 0.194 1
Tb3 Tb 0.000 0.000 0.388 1
Tb4 Tb 0.000 0.000 0.612 1
Tb5 Tb 0.000 0.000 0.806 1
Er1 Er 0.500 0.500 0.500 1
Tl1 Tl 0.500 0.500 0.097 1
Tl2 Tl 0.500 0.500 0.291 1
Tl3 Tl 0.500 0.500 0.709 1
Tl4 Tl 0.500 0.500 0.903 1


Record 7
# PrYBi2, optimized geometry, DFT PBE-GGA
# - ΔH_f (0 K): -664 meV per atom
# - Fermi-level density of states: 4.46 states/eV/cell
# - VASP energy: -5.42 eV/atom
data_PrYBi2
_cell_length_a 3.863
_cell_length_b 3.863
_cell_length_c 8.256
_cell_angle_alpha 90.00
_cell_angle_beta 90.00
_cell_angle_gamma 90.00
_symmetry_space_group_name_H-M 'P 1'
_symmetry_Int_Tables_number 1
_symmetry_space_group_name_Hall 'P 1'
loop_
_atom_site_label
_atom_site_type_symbol
_atom_site_fract_x
_atom_site_fract_y
_atom_site_fract_z
_atom_site_occupancy
Pr1 Pr 0.000 0.000 0.000 1
Y1 Y 0.000 0.000 0.500 1
Bi1 Bi 0.500 0.500 0.261 1
Bi2 Bi 0.500 0.500 0.739 1


Record 8
# Ta3TiTe, optimized geometry, DFT PBE-GGA
# - Fermi-level density of states: 6.20 states/eV/cell
# - Raw formation energy: 1.70 eV per atom
# - VASP energy: -7.62 eV/atom
data_Ta3TiTe
_cell_length_a 4.960
_cell_length_b 4.960
_cell_length_c 4.960
_cell_angle_alpha 90.00
_cell_angle_beta 90.00
_cell_angle_gamma 90.00
_symmetry_space_group_name_H-M 'P 1'
_symmetry_Int_Tables_number 1
_symmetry_space_group_name_Hall 'P 1'
loop_
_atom_site_label
_atom_site_type_symbol
_atom_site_fract_x
_atom_site_fract_y
_atom_site_fract_z
_atom_site_occupancy
Ta1 Ta 0.000 0.000 0.500 1
Ta2 Ta 0.000 0.500 0.000 1
Ta3 Ta 0.500 0.000 0.000 1
Ti1 Ti 0.500 0.500 0.500 1
Te1 Te 0.000 0.000 0.000 1


Record 9
# Nd2Pu4Bi3N2, optimized geometry, DFT PBE-GGA
# - Fermi-level density of states: 24.42 states/eV/cell
# - Raw formation energy: -0.83 eV per atom
# - VASP energy: -9.48 eV/atom
data_Nd2Pu4Bi3N2
_cell_length_a 13.864
_cell_length_b 13.864
_cell_length_c 13.864
_cell_angle_alpha 160.57
_cell_angle_beta 160.57
_cell_angle_gamma 27.62
_symmetry_space_group_name_H-M 'P 1'
_symmetry_Int_Tables_number 1
_symmetry_space_group_name_Hall 'P 1'
loop_
_atom_site_label
_atom_site_type_symbol
_atom_site_fract_x
_atom_site_fract_y
_atom_site_fract_z
_atom_site_occupancy
Nd1 Nd 0.194 0.194 0.000 1
Nd2 Nd 0.806 0.806 0.000 1
Pu1 Pu 0.086 0.586 0.500 1
Pu2 Pu 0.414 0.914 0.500 1
Pu3 Pu 0.586 0.086 0.500 1
Pu4 Pu 0.914 0.414 0.500 1
Bi1 Bi 0.320 0.320 0.000 1
Bi2 Bi 0.500 0.500 0.000 1
Bi3 Bi 0.680 0.680 0.000 1
N1 N 0.104 0.104 0.000 1
N2 N 0.896 0.896 0.000 1


Record 10
# Mn2CuCl2, optimized geometry, DFT PBE-GGA
# - Fermi-level density of states: 1.13 states/eV/cell
# - Raw formation energy: 0.18 eV per atom
# - VASP energy: -5.04 eV/atom
data_Mn2CuCl2
_cell_length_a 6.374
_cell_length_b 6.374
_cell_length_c 6.374
_cell_angle_alpha 141.30
_cell_angle_beta 141.30
_cell_angle_gamma 55.89
_symmetry_space_group_name_H-M 'P 1'
_symmetry_Int_Tables_number 1
_symmetry_space_group_name_Hall 'P 1'
loop_
_atom_site_label
_atom_site_type_symbol
_atom_site_fract_x
_atom_site_fract_y
_atom_site_fract_z
_atom_site_occupancy
Mn1 Mn 0.119 0.119 0.000 1
Mn2 Mn 0.881 0.881 0.000 1
Cu1 Cu 0.500 0.500 0.000 1
Cl1 Cl 0.250 0.750 0.500 1
Cl2 Cl 0.750 0.250 0.500 1


Record 11
# Th2BSb, optimized geometry, DFT PBE-GGA
# - Fermi-level density of states: 3.10 states/eV/cell
# - Raw formation energy: -0.46 eV per atom
# - VASP energy: -6.87 eV/atom
data_Th2BSb
_cell_length_a 7.693
_cell_length_b 7.693
_cell_length_c 7.693
_cell_angle_alpha 30.92
_cell_angle_beta 30.92
_cell_angle_gamma 30.92
_symmetry_space_group_name_H-M 'P 1'
_symmetry_Int_Tables_number 1
_symmetry_space_group_name_Hall 'P 1'
loop_
_atom_site_label
_atom_site_type_symbol
_atom_site_fract_x
_atom_site_fract_y
_atom_site_fract_z
_atom_site_occupancy
Th1 Th 0.235 0.235 0.235 1
Th2 Th 0.765 0.765 0.765 1
B1 B 0.500 0.500 0.500 1
Sb1 Sb 0.000 0.000 0.000 1


Record 12
# Pm2Si4Os, optimized geometry, DFT PBE-GGA
# - Fermi-level density of states: 3.00 states/eV/cell
# - Raw formation energy: -0.43 eV per atom
# - VASP energy: -6.49 eV/atom
data_Pm2Si4Os
_cell_length_a 6.068
_cell_length_b 6.068
_cell_length_c 6.068
_cell_angle_alpha 125.65
_cell_angle_beta 121.87
_cell_angle_gamma 83.63
_symmetry_space_group_name_H-M 'P 1'
_symmetry_Int_Tables_number 1
_symmetry_space_group_name_Hall 'P 1'
loop_
_atom_site_label
_atom_site_type_symbol
_atom_site_fract_x
_atom_site_fract_y
_atom_site_fract_z
_atom_site_occupancy
Pm1 Pm 0.240 0.240 0.000 1
Pm2 Pm 0.760 0.760 0.000 1
Si1 Si 0.299 0.215 0.513 1
Si2 Si 0.299 0.785 0.084 1
Si3 Si 0.701 0.215 0.916 1
Si4 Si 0.701 0.785 0.487 1
Os1 Os 0.000 0.500 0.500 1


Record 13
# Ho3CuPd3, optimized geometry, DFT PBE-GGA
# - ΔH_f (0 K): -753 meV per atom
# - Fermi-level density of states: 2.33 states/eV/cell
# - VASP energy: -5.53 eV/atom
data_Ho3CuPd3
_cell_length_a 9.818
_cell_length_b 9.818
_cell_length_c 9.818
_cell_angle_alpha 157.98
_cell_angle_beta 155.20
_cell_angle_gamma 33.41
_symmetry_space_group_name_H-M 'P 1'
_symmetry_Int_Tables_number 1
_symmetry_space_group_name_Hall 'P 1'
loop_
_atom_site_label
_atom_site_type_symbol
_atom_site_fract_x
_atom_site_fract_y
_atom_site_fract_z
_atom_site_occupancy
Ho1 Ho 0.000 0.000 0.000 1
Ho2 Ho 0.372 0.372 0.000 1
Ho3 Ho 0.684 0.184 0.500 1
Cu1 Cu 0.254 0.754 0.500 1
Pd1 Pd 0.122 0.622 0.500 1
Pd2 Pd 0.528 0.528 0.000 1
Pd3 Pd 0.835 0.835 0.000 1


Record 14
# Ta2FeAgH, optimized geometry, DFT PBE-GGA
# - Fermi-level density of states: 3.65 states/eV/cell
# - VASP energy: -7.50 eV/atom
data_Ta2FeAgH
_cell_length_a 4.109
_cell_length_b 4.109
_cell_length_c 3.943
_cell_angle_alpha 90.00
_cell_angle_beta 90.00
_cell_angle_gamma 90.00
_symmetry_space_group_name_H-M 'P 1'
_symmetry_Int_Tables_number 1
_symmetry_space_group_name_Hall 'P 1'
loop_
_atom_site_label
_atom_site_type_symbol
_atom_site_fract_x
_atom_site_fract_y
_atom_site_fract_z
_atom_site_occupancy
Ta1 Ta 0.000 0.500 0.000 1
Ta2 Ta 0.500 0.000 0.000 1
Fe1 Fe 0.000 0.000 0.500 1
Ag1 Ag 0.500 0.500 0.500 1
H1 H 0.000 0.000 0.000 1


Record 15
# Y4ScTa, optimized geometry, DFT PBE-GGA
# - ΔH_f (0 K): 737 meV per atom
# - Fermi-level density of states: 10.48 states/eV/cell
# - VASP energy: -6.60 eV/atom
data_Y4ScTa
_cell_length_a 6.226
_cell_length_b 6.226
_cell_length_c 6.226
_cell_angle_alpha 60.00
_cell_angle_beta 60.00
_cell_angle_gamma 60.00
_symmetry_space_group_name_H-M 'P 1'
_symmetry_Int_Tables_number 1
_symmetry_space_group_name_Hall 'P 1'
loop_
_atom_site_label
_atom_site_type_symbol
_atom_site_fract_x
_atom_site_fract_y
_atom_site_fract_z
_atom_site_occupancy
Y1 Y 0.376 0.376 0.376 1
Y2 Y 0.376 0.376 0.872 1
Y3 Y 0.376 0.872 0.376 1
Y4 Y 0.872 0.376 0.376 1
Sc1 Sc 0.000 0.000 0.000 1
Ta1 Ta 0.750 0.750 0.750 1


Record 16
# Ca2TlIn4, optimized geometry, DFT PBE-GGA
# - ΔH_f (0 K): -218 meV per atom
# - Fermi-level density of states: 4.23 states/eV/cell
# - VASP energy: -2.69 eV/atom
data_Ca2TlIn4
_cell_length_a 7.049
_cell_length_b 6.708
_cell_length_c 6.351
_cell_angle_alpha 65.27
_cell_angle_beta 59.81
_cell_angle_gamma 54.92
_symmetry_space_group_name_H-M 'P 1'
_symmetry_Int_Tables_number 1
_symmetry_space_group_name_Hall 'P 1'
loop_
_atom_site_label
_atom_site_type_symbol
_atom_site_fract_x
_atom_site_fract_y
_atom_site_fract_z
_atom_site_occupancy
Ca1 Ca 0.000 0.000 0.500 1
Ca2 Ca 0.500 0.500 0.000 1
Tl1 Tl 0.000 0.000 0.000 1
In1 In 0.000 0.500 0.000 1
In2 In 0.000 0.500 0.500 1
In3 In 0.500 0.000 0.000 1
In4 In 0.500 0.000 0.500 1


Record 17
# Sm7Dy12Er, optimized geometry, DFT PBE-GGA
# - ΔH_f (0 K): 281 meV per atom
# - Fermi-level density of states: 18.57 states/eV/cell
# - VASP energy: -4.36 eV/atom
data_Sm7Dy12Er
_cell_length_a 8.713
_cell_length_b 8.713
_cell_length_c 8.713
_cell_angle_alpha 94.83
_cell_angle_beta 94.83
_cell_angle_gamma 94.83
_symmetry_space_group_name_H-M 'P 1'
_symmetry_Int_Tables_number 1
_symmetry_space_group_name_Hall 'P 1'
loop_
_atom_site_label
_atom_site_type_symbol
_atom_site_fract_x
_atom_site_fract_y
_atom_site_fract_z
_atom_site_occupancy
Sm1 Sm 0.000 0.000 0.000 1
Sm2 Sm 0.145 0.478 0.413 1
Sm3 Sm 0.413 0.145 0.478 1
Sm4 Sm 0.478 0.413 0.145 1
Sm5 Sm 0.522 0.587 0.855 1
Sm6 Sm 0.587 0.855 0.522 1
Sm7 Sm 0.855 0.522 0.587 1
Dy1 Dy 0.015 0.351 0.082 1
Dy2 Dy 0.082 0.015 0.351 1
Dy3 Dy 0.187 0.318 0.750 1
Dy4 Dy 0.250 0.813 0.682 1
Dy5 Dy 0.318 0.750 0.187 1
Dy6 Dy 0.351 0.082 0.015 1
Dy7 Dy 0.649 0.918 0.985 1
Dy8 Dy 0.682 0.250 0.813 1
Dy9 Dy 0.750 0.187 0.318 1
Dy10 Dy 0.813 0.682 0.250 1
Dy11 Dy 0.918 0.985 0.649 1
Dy12 Dy 0.985 0.649 0.918 1
Er1 Er 0.500 0.500 0.500 1


Record 18
# Ti2BeSi, optimized geometry, DFT PBE-GGA
# - Fermi-level density of states: 4.64 states/eV/cell
# - Raw formation energy: -0.26 eV per atom
# - VASP energy: -6.50 eV/atom
data_Ti2BeSi
_cell_length_a 4.260
_cell_length_b 4.260
_cell_length_c 4.260
_cell_angle_alpha 60.00
_cell_angle_beta 60.00
_cell_angle_gamma 60.00
_symmetry_space_group_name_H-M 'P 1'
_symmetry_Int_Tables_number 1
_symmetry_space_group_name_Hall 'P 1'
loop_
_atom_site_label
_atom_site_type_symbol
_atom_site_fract_x
_atom_site_fract_y
_atom_site_fract_z
_atom_site_occupancy
Ti1 Ti 0.250 0.250 0.250 1
Ti2 Ti 0.750 0.750 0.750 1
Be1 Be 0.000 0.000 0.000 1
Si1 Si 0.500 0.500 0.500 1


Record 19
# LiTaBi2, optimized geometry, DFT PBE-GGA
# - ΔH_f (0 K): 537 meV per atom
# - Fermi-level density of states: 0.00 states/eV/cell
# - VASP energy: -4.84 eV/atom
data_LiTaBi2
_cell_length_a 7.750
_cell_length_b 7.750
_cell_length_c 7.750
_cell_angle_alpha 128.23
_cell_angle_beta 128.23
_cell_angle_gamma 76.25
_symmetry_space_group_name_H-M 'P 1'
_symmetry_Int_Tables_number 1
_symmetry_space_group_name_Hall 'P 1'
loop_
_atom_site_label
_atom_site_type_symbol
_atom_site_fract_x
_atom_site_fract_y
_atom_site_fract_z
_atom_site_occupancy
Li1 Li 0.000 0.000 0.000 1
Li2 Li 0.750 0.250 0.500 1
Ta1 Ta 0.250 0.750 0.500 1
Ta2 Ta 0.500 0.500 0.000 1
Bi1 Bi 0.146 0.625 0.021 1
Bi2 Bi 0.375 0.396 0.521 1
Bi3 Bi 0.604 0.125 0.979 1
Bi4 Bi 0.875 0.854 0.479 1


Record 20
# CdRe4Os, optimized geometry, DFT PBE-GGA
# - ΔH_f (0 K): 655 meV per atom
# - Fermi-level density of states: 2.85 states/eV/cell
# - VASP energy: -9.67 eV/atom
data_CdRe4Os
_cell_length_a 5.189
_cell_length_b 5.189
_cell_length_c 5.189
_cell_angle_alpha 60.00
_cell_angle_beta 60.00
_cell_angle_gamma 60.00
_symmetry_space_group_name_H-M 'P 1'
_symmetry_Int_Tables_number 1
_symmetry_space_group_name_Hall 'P 1'
loop_
_atom_site_label
_atom_site_type_symbol
_atom_site_fract_x
_atom_site_fract_y
_atom_site_fract_z
_atom_site_occupancy
Cd1 Cd 0.000 0.000 0.000 1
Re1 Re 0.374 0.374 0.374 1
Re2 Re 0.374 0.374 0.878 1
Re3 Re 0.374 0.878 0.374 1
Re4 Re 0.878 0.374 0.374 1
Os1 Os 0.750 0.750 0.750 1